A geometry-optimized ZnCrFeF6 structure. Source: the Alexandria database, functional GGA+U.

Its calculated total energy is -5.046 eV per atom. The space-group type is No. 163. As for the magnetization: 15.28 μB/cell.

Geometry as extended XYZ:
```
18
Lattice="-3.229 2.263 -3.598 4.081 -3.038 -1.614 -5.363 -7.317 0.212" Properties=species:S:1:pos:R:3 pbc="T T T"
Fe -4.814 -4.992 -2.778
Fe 0.304 -3.100 -2.222
F -1.944 -8.423 -0.924
F -2.783 -7.892 -3.828
F -1.740 -2.967 -1.636
F -4.155 -1.217 -2.358
F -0.355 -6.875 -2.642
F -2.567 0.331 -4.076
F -0.130 -1.438 -3.481
F -1.728 -0.200 -1.172
F -4.381 -6.654 -1.519
F -2.479 -2.510 -4.579
F -2.771 -5.125 -3.364
F -2.032 -5.582 -0.421
Cr -2.133 -1.333 -2.884
Cr -2.378 -6.758 -2.116
Zn -2.681 -3.658 0.106
Zn 0.000 0.000 0.000
```